(1)
Entry from Alexandria via LeMat-Bulk: a relaxed PuTlAg2Cl6 crystal (PBE-GGA).

Cell lengths 7.3662, 7.3662, 19.7974 Å; angles 90.00, 90.00, 120.00 degrees
Space group R3 (No. 146, hexagonal axes)
Inequivalent atoms, fractional coordinates:
Pu (0.0000, 0.0000, 0.0000)
Tl (0.0000, 0.0000, 0.5067)
Ag (0.0000, 0.0000, 0.2030)
Ag (0.0000, 0.0000, 0.7563)
Cl (0.0140, 0.6423, 0.5929)
Cl (0.0636, 0.3704, 0.7586)

Values from the calculation:
- size of the total moment (μB/f.u.) = 5.00
- raw formation energy (eV/atom) = -1.1275

=====

(2)
Entry from Alexandria via LeMat-Bulk: a relaxed PuTl3Ag2Cl9 crystal (PBE-GGA).

Cell lengths 7.5403, 7.5403, 9.3374 Å; angles 90.00, 90.00, 120.00 degrees
Space group P-3m1 (No. 164)
Inequivalent atoms, fractional coordinates:
Pu (0.0000, 0.0000, 0.0000)
Tl (0.0000, 0.0000, 0.5000)
Tl (0.3333, 0.6667, 0.2605)
Ag (0.3333, 0.6667, 0.6692)
Cl (0.0000, 0.5000, 0.5000)
Cl (0.1603, 0.3207, 0.8326)

Values from the calculation:
- size of the total moment (μB/f.u.) = 3.95
- raw formation energy (eV/atom) = -1.0876

=====

(3)
Entry from Alexandria via LeMat-Bulk: a relaxed RbAgCl2 crystal (PBE-GGA).

Cell lengths 7.443, 7.443, 7.443 Å; angles 90.00, 90.00, 90.00 degrees
Space group Fm-3m (No. 225)
Inequivalent atoms, fractional coordinates:
Rb (0.000, 0.000, 0.000)
Ag (0.000, 0.000, 0.500)
Cl (0.250, 0.250, 0.250)

Values from the calculation:
- size of the total moment (μB/f.u.) = 0.00
- raw formation energy (eV/atom) = -0.9767

=====

(4)
Entry from Alexandria via LeMat-Bulk: a relaxed RbAg3Cl6 crystal (PBE-GGA).

Cell lengths 9.347, 13.744, 4.315 Å; angles 90.00, 90.00, 90.00 degrees
Space group Cmmm (No. 65)
Inequivalent atoms, fractional coordinates:
Rb (0.000, 0.000, 0.000)
Ag (0.000, 0.500, 0.000)
Ag (0.250, 0.250, 0.500)
Cl (0.000, 0.182, 0.500)
Cl (0.186, 0.374, 0.000)

Values from the calculation:
- size of the total moment (μB/f.u.) = 0.00
- raw formation energy (eV/atom) = -0.7075

=====

(5)
Entry from Alexandria via LeMat-Bulk: a relaxed Rb2Ag2Cl crystal (PBE-GGA).

Cell lengths 6.785, 6.785, 8.364 Å; angles 90.00, 90.00, 90.00 degrees
Space group I4/mmm (No. 139)
Inequivalent atoms, fractional coordinates:
Rb (0.000, 0.500, 0.250)
Ag (0.000, 0.000, 0.160)
Cl (0.000, 0.000, 0.500)

Values from the calculation:
- size of the total moment (μB/f.u.) = 0.00
- energy above the most stable polymorph in this dataset (meV per atom) = 364
- raw formation energy (eV/atom) = -0.3087

=====

(6)
Entry from Alexandria via LeMat-Bulk: a relaxed Rb2Ag2Cl7 crystal (PBE-GGA).

Cell lengths 8.461, 9.977, 7.609 Å; angles 90.00, 90.00, 90.00 degrees
Space group Cmmm (No. 65)
Inequivalent atoms, fractional coordinates:
Rb (0.225, 0.000, 0.000)
Ag (0.000, 0.263, 0.500)
Cl (0.000, 0.000, 0.500)
Cl (0.000, 0.500, 0.285)
Cl (0.250, 0.250, 0.283)

Values from the calculation:
- size of the total moment (μB/f.u.) = 0.69
- raw formation energy (eV/atom) = -0.7098

=====

(7)
Entry from Alexandria via LeMat-Bulk: a relaxed Rb3Ag2Cl7 crystal (PBE-GGA).

Cell lengths 5.184, 5.184, 26.392 Å; angles 90.00, 90.00, 90.00 degrees
Space group I4/mmm (No. 139)
Inequivalent atoms, fractional coordinates:
Rb (0.000, 0.000, 0.000)
Rb (0.000, 0.000, 0.180)
Ag (0.000, 0.000, 0.403)
Cl (0.000, 0.000, 0.306)
Cl (0.000, 0.000, 0.500)
Cl (0.000, 0.500, 0.094)

Values from the calculation:
- size of the total moment (μB/f.u.) = 0.00
- raw formation energy (eV/atom) = -1.1981

=====

(8)
Entry from Alexandria via LeMat-Bulk: a relaxed RbAg5Cl6 crystal (PBE-GGA).

Cell lengths 7.338, 12.067, 7.156 Å; angles 90.00, 108.05, 90.00 degrees
Space group C2/m (No. 12)
Inequivalent atoms, fractional coordinates:
Rb (0.000, 0.000, 0.000)
Ag (0.000, 0.164, 0.500)
Ag (0.000, 0.335, 0.000)
Ag (0.000, 0.500, 0.500)
Cl (0.181, 0.321, 0.755)
Cl (0.235, 0.000, 0.688)

Values from the calculation:
- size of the total moment (μB/f.u.) = 0.00
- raw formation energy (eV/atom) = -0.6645

=====

(9)
Entry from Alexandria via LeMat-Bulk: a relaxed Rb2Ag3Cl8 crystal (PBE-GGA).

Cell lengths 15.600, 8.458, 6.678 Å; angles 90.00, 110.64, 90.00 degrees
Space group C2/m (No. 12)
Inequivalent atoms, fractional coordinates:
Rb (0.228, 0.000, 0.162)
Ag (0.000, 0.232, 0.500)
Ag (0.000, 0.500, 0.000)
Cl (0.093, 0.274, 0.876)
Cl (0.096, 0.500, 0.376)
Cl (0.115, 0.000, 0.488)

Values from the calculation:
- size of the total moment (μB/f.u.) = 0.00
- energy above the most stable polymorph in this dataset (meV per atom) = 56
- raw formation energy (eV/atom) = -0.7966

=====

(10)
Entry from Alexandria via LeMat-Bulk: a relaxed Rb5AgCl4 crystal (PBE-GGA).

Cell lengths 4.826, 4.826, 34.159 Å; angles 90.00, 90.00, 90.00 degrees
Space group I4/mmm (No. 139)
Inequivalent atoms, fractional coordinates:
Rb (0.000, 0.000, 0.000)
Rb (0.000, 0.000, 0.201)
Rb (0.000, 0.000, 0.395)
Ag (0.000, 0.000, 0.500)
Cl (0.000, 0.000, 0.103)
Cl (0.000, 0.000, 0.298)

Values from the calculation:
- size of the total moment (μB/f.u.) = 0.00
- raw formation energy (eV/atom) = -1.5086

=====

(11)
Entry from Alexandria via LeMat-Bulk: a relaxed Rb3Ag4Cl8 crystal (PBE-GGA).

Cell lengths 11.952, 12.117, 8.531 Å; angles 90.00, 132.39, 90.00 degrees
Space group C2/m (No. 12)
Inequivalent atoms, fractional coordinates:
Rb (0.000, 0.000, 0.000)
Rb (0.250, 0.250, 0.500)
Ag (0.000, 0.500, 0.000)
Ag (0.000, 0.500, 0.500)
Ag (0.250, 0.250, 0.000)
Cl (0.000, 0.265, 0.000)
Cl (0.000, 0.291, 0.500)
Cl (0.200, 0.500, 0.481)
Cl (0.228, 0.500, 0.011)

Values from the calculation:
- size of the total moment (μB/f.u.) = 0.99
- raw formation energy (eV/atom) = -0.9384

=====

(12)
Entry from Alexandria via LeMat-Bulk: a relaxed Rb3Ag2Cl8 crystal (PBE-GGA).

Cell lengths 6.9323, 6.9323, 29.8412 Å; angles 90.00, 90.00, 120.00 degrees
Space group R-3m (No. 166, hexagonal axes)
Inequivalent atoms, fractional coordinates:
Rb (0.0000, 0.0000, 0.0000)
Rb (0.0000, 0.0000, 0.2067)
Ag (0.0000, 0.0000, 0.3970)
Cl (0.0000, 0.0000, 0.3157)
Cl (0.0244, 0.5122, 0.7703)

Values from the calculation:
- size of the total moment (μB/f.u.) = 1.93
- raw formation energy (eV/atom) = -0.9644